[1]
4
Lattice="5.083 0.000 0.000 2.542 4.402 0.000 2.542 1.467 4.150" Properties=species:S:1:pos:R:3 comment="CsCoGe2 (PBE, relaxed)" polymorph_energy_mev_per_atom=1150.5 crystal_system=cubic e_form_ev_per_atom=1.050 pbc="T T T"
Cs 5.083 2.935 2.075
Ge 2.542 1.467 1.038
Ge 7.625 4.402 3.113
Co 0.000 0.000 0.000

[2]
5
Lattice="4.833 0.000 0.000 0.000 4.715 0.000 0.000 0.000 4.833" Properties=species:S:1:pos:R:3 comment="ZrFe2GeCl (PBE, relaxed)" formation_energy_uncorrected_mev_per_atom=1018 crystal_system=tetragonal pbc="T T T"
Ge 2.416 2.358 2.416
Fe 0.000 0.000 2.416
Fe 2.416 0.000 0.000
Zr 0.000 0.000 0.000
Cl 0.000 2.358 0.000

[3]
5
Lattice="5.571 0.000 0.000 0.000 5.571 0.000 0.000 0.000 5.676" Properties=species:S:1:pos:R:3 comment="HfTe2SeI (PBE, relaxed)" formation_energy_uncorrected_mev_per_atom=104 polymorph_energy_mev_per_atom=0.0 crystal_system=tetragonal pbc="T T T"
I 0.000 0.000 2.838
Te 0.000 2.786 0.000
Te 2.786 0.000 0.000
Hf 0.000 0.000 0.000
Se 2.786 2.786 2.838

[4]
4
Lattice="2.974 0.000 0.000 0.000 2.974 0.000 0.000 0.000 6.810" Properties=species:S:1:pos:R:3 comment="Cu2PtCl (PBE, relaxed)" formation_energy_uncorrected_mev_per_atom=65 polymorph_energy_mev_per_atom=108.6 crystal_system=tetragonal pbc="T T T"
Cu 0.000 0.000 0.085
Cu 0.000 0.000 3.319
Pt 1.487 1.487 1.702
Cl 1.487 1.487 5.107